No. 1
# PBE ZrMn2, relaxed
data_ZrMn2
_cell_length_a 5.529
_cell_length_b 5.529
_cell_length_c 5.529
_cell_angle_alpha 130.95
_cell_angle_beta 130.95
_cell_angle_gamma 71.90
_space_group_name_H-M_alt 'P 1'
_space_group_IT_number 1
loop_
_space_group_symop_operation_xyz
'x,y,z'
loop_
_atom_site_label
_atom_site_fract_x
_atom_site_fract_y
_atom_site_fract_z
Zr1 0.250 0.250 0.000
Zr2 0.750 0.750 0.000
Mn1 0.189 0.689 0.877
Mn2 0.311 0.189 0.500
Mn3 0.689 0.811 0.500
Mn4 0.811 0.311 0.123
# energy of formation	0.31	eV/atom

=====

No. 2
# PBE ZrMn2, relaxed
data_ZrMn2
_cell_length_a 2.908
_cell_length_b 2.908
_cell_length_c 6.165
_cell_angle_alpha 90.00
_cell_angle_beta 90.00
_cell_angle_gamma 120.00
_space_group_name_H-M_alt 'P 1'
_space_group_IT_number 1
loop_
_space_group_symop_operation_xyz
'x,y,z'
loop_
_atom_site_label
_atom_site_fract_x
_atom_site_fract_y
_atom_site_fract_z
Zr1 0.000 0.000 0.000
Mn1 0.333 0.667 0.625
Mn2 0.667 0.333 0.375
# energy of formation	0.48	eV/atom

=====

No. 3
# PBE Zr2Mn, relaxed
data_Zr2Mn
_cell_length_a 6.085
_cell_length_b 6.334
_cell_length_c 3.158
_cell_angle_alpha 90.00
_cell_angle_beta 90.00
_cell_angle_gamma 90.00
_space_group_name_H-M_alt 'P 1'
_space_group_IT_number 1
loop_
_space_group_symop_operation_xyz
'x,y,z'
loop_
_atom_site_label
_atom_site_fract_x
_atom_site_fract_y
_atom_site_fract_z
Zr1 0.166 0.208 0.000
Zr2 0.334 0.708 0.500
Zr3 0.666 0.292 0.500
Zr4 0.834 0.792 0.000
Mn1 0.000 0.500 0.500
Mn2 0.500 0.000 0.000
# energy of formation	0.24	eV/atom

=====

No. 4
# PBE Zr5Mn, relaxed
data_Zr5Mn
_cell_length_a 5.872
_cell_length_b 5.872
_cell_length_c 4.950
_cell_angle_alpha 90.00
_cell_angle_beta 90.00
_cell_angle_gamma 120.00
_space_group_name_H-M_alt 'P 1'
_space_group_IT_number 1
loop_
_space_group_symop_operation_xyz
'x,y,z'
loop_
_atom_site_label
_atom_site_fract_x
_atom_site_fract_y
_atom_site_fract_z
Zr1 0.000 0.500 0.000
Zr2 0.333 0.667 0.500
Zr3 0.500 0.000 0.000
Zr4 0.500 0.500 0.000
Zr5 0.667 0.333 0.500
Mn1 0.000 0.000 0.500
# energy of formation	0.70	eV/atom

=====

no.,uncorrected energy (eV per atom)
1,-8.6549
2,-8.4809
3,-8.5110
4,-7.9536